A plane-wave DFT calculation with GGA-PBE was carried out for an optimized crystal structure of Tm2CoGe4.

Unit cell a=4.084 b=8.089 c=8.089 alpha=29.44 beta=90.00 gamma=90.00
Atoms (fractional coordinates):
Tm (0.000, 0.000, 0.000)
Tm (0.500, 0.208, 0.208)
Co (0.000, 0.795, 0.795)
Ge (0.000, 0.364, 0.364)
Ge (0.000, 0.649, 0.649)
Ge (0.500, 0.542, 0.542)
Ge (0.500, 0.863, 0.863)

Output
- Formation energy: -0.619 eV per atom


A plane-wave DFT calculation with GGA-PBE was carried out for an optimized crystal structure of TmCoGe2.

Unit cell a=5.464 b=5.464 c=5.464 alpha=42.99 beta=42.99 gamma=42.99
Atoms (fractional coordinates):
Tm (0.000, 0.000, 0.000)
Co (0.500, 0.500, 0.500)
Ge (0.218, 0.218, 0.218)
Ge (0.782, 0.782, 0.782)

Output
- Formation energy: -0.558 eV per atom


A plane-wave DFT calculation with GGA-PBE was carried out for an optimized crystal structure of Tm4CoGe.

Unit cell a=8.106 b=8.106 c=6.663 alpha=110.07 beta=110.07 gamma=48.56
Atoms (fractional coordinates):
Tm (0.083, 0.164, 0.058)
Tm (0.164, 0.083, 0.558)
Tm (0.325, 0.402, 0.350)
Tm (0.402, 0.325, 0.850)
Tm (0.598, 0.675, 0.150)
Tm (0.675, 0.598, 0.650)
Tm (0.836, 0.917, 0.442)
Tm (0.917, 0.836, 0.942)
Co (0.000, 0.500, 0.000)
Co (0.500, 0.000, 0.500)
Ge (0.261, 0.739, 0.750)
Ge (0.739, 0.261, 0.250)

Output
- Formation energy: -0.328 eV per atom


A plane-wave DFT calculation with GGA-PBE was carried out for an optimized crystal structure of Tm2CoGe3.

Unit cell a=3.938 b=4.195 c=7.035 alpha=90.00 beta=90.00 gamma=90.00
Atoms (fractional coordinates):
Tm (0.000, 0.000, 0.000)
Tm (0.000, 0.500, 0.475)
Co (0.500, 0.000, 0.296)
Ge (0.500, 0.000, 0.621)
Ge (0.500, 0.500, 0.167)
Ge (0.500, 0.500, 0.815)

Output
- Formation energy: -0.596 eV per atom
- Excess energy over the best structure of this formula in the dataset: 0.026 eV per atom


A plane-wave DFT calculation with GGA-PBE was carried out for an optimized crystal structure of Tm2Co5Ge4.

Unit cell a=8.329 b=7.458 c=5.286 alpha=79.63 beta=61.74 gamma=38.63
Atoms (fractional coordinates):
Tm (0.127, 0.127, 0.873)
Tm (0.873, 0.873, 0.127)
Co (0.000, 0.000, 0.500)
Co (0.250, 0.250, 0.250)
Co (0.500, 0.500, 0.000)
Co (0.500, 0.500, 0.500)
Co (0.750, 0.750, 0.750)
Ge (0.213, 0.526, 0.474)
Ge (0.474, 0.787, 0.213)
Ge (0.526, 0.213, 0.787)
Ge (0.787, 0.474, 0.526)

Output
- Formation energy: -0.465 eV per atom


A plane-wave DFT calculation with GGA-PBE was carried out for an optimized crystal structure of TmCo6Ge6.

Unit cell a=6.412 b=6.412 c=6.412 alpha=133.29 beta=104.68 gamma=93.49
Atoms (fractional coordinates):
Tm (0.000, 0.000, 0.000)
Co (0.000, 0.000, 0.500)
Co (0.000, 0.500, 0.000)
Co (0.252, 0.500, 0.752)
Co (0.500, 0.000, 0.000)
Co (0.500, 0.500, 0.500)
Co (0.748, 0.500, 0.248)
Ge (0.168, 0.668, 0.500)
Ge (0.336, 0.336, 0.000)
Ge (0.344, 0.000, 0.344)
Ge (0.656, 0.000, 0.656)
Ge (0.664, 0.664, 0.000)
Ge (0.832, 0.332, 0.500)

Output
- Formation energy: -0.355 eV per atom


A plane-wave DFT calculation with GGA-PBE was carried out for an optimized crystal structure of TmCo5Ge2.

Unit cell a=5.966 b=5.966 c=5.966 alpha=144.93 beta=112.60 gamma=78.30
Atoms (fractional coordinates):
Tm (0.000, 0.000, 0.000)
Co (0.180, 0.366, 0.814)
Co (0.447, 0.634, 0.814)
Co (0.500, 0.000, 0.500)
Co (0.553, 0.366, 0.186)
Co (0.820, 0.634, 0.186)
Ge (0.249, 0.749, 0.500)
Ge (0.751, 0.251, 0.500)

Output
- Formation energy: -0.240 eV per atom


A plane-wave DFT calculation with GGA-PBE was carried out for an optimized crystal structure of TmCo4Ge.

Unit cell a=4.878 b=4.878 c=4.878 alpha=60.00 beta=60.00 gamma=60.00
Atoms (fractional coordinates):
Tm (0.000, 0.000, 0.000)
Co (0.376, 0.376, 0.376)
Co (0.376, 0.376, 0.873)
Co (0.376, 0.873, 0.376)
Co (0.873, 0.376, 0.376)
Ge (0.750, 0.750, 0.750)

Output
- Formation energy: -0.134 eV per atom
- Excess energy over the best structure of this formula in the dataset: 0.000 eV per atom


A plane-wave DFT calculation with GGA-PBE was carried out for an optimized crystal structure of Tm2CoGe3.

Unit cell a=5.536 b=5.536 c=6.812 alpha=126.63 beta=126.63 gamma=44.53
Atoms (fractional coordinates):
Tm (0.000, 0.000, 0.000)
Tm (0.116, 0.116, 0.595)
Co (0.737, 0.737, 0.045)
Ge (0.366, 0.366, 0.172)
Ge (0.451, 0.451, 0.671)
Ge (0.737, 0.737, 0.401)

Output
- Formation energy: -0.622 eV per atom
- Excess energy over the best structure of this formula in the dataset: 0.000 eV per atom


A plane-wave DFT calculation with GGA-PBE was carried out for an optimized crystal structure of Tm2Co2Ge3.

Unit cell a=8.960 b=8.960 c=6.782 alpha=90.00 beta=90.00 gamma=153.99
Atoms (fractional coordinates):
Tm (0.055, 0.945, 0.750)
Tm (0.161, 0.839, 0.250)
Tm (0.839, 0.161, 0.750)
Tm (0.945, 0.055, 0.250)
Co (0.304, 0.696, 0.056)
Co (0.304, 0.696, 0.444)
Co (0.696, 0.304, 0.556)
Co (0.696, 0.304, 0.944)
Ge (0.222, 0.778, 0.750)
Ge (0.432, 0.568, 0.561)
Ge (0.432, 0.568, 0.939)
Ge (0.568, 0.432, 0.061)
Ge (0.568, 0.432, 0.439)
Ge (0.778, 0.222, 0.250)

Output
- Formation energy: -0.613 eV per atom


A plane-wave DFT calculation with GGA-PBE was carried out for an optimized crystal structure of Tm3CoGe2.

Unit cell a=11.366 b=4.087 c=10.986 alpha=90.00 beta=90.00 gamma=90.00
Atoms (fractional coordinates):
Tm (0.055, 0.250, 0.130)
Tm (0.121, 0.750, 0.554)
Tm (0.226, 0.250, 0.796)
Tm (0.274, 0.750, 0.296)
Tm (0.379, 0.250, 0.054)
Tm (0.445, 0.750, 0.630)
Tm (0.555, 0.250, 0.370)
Tm (0.621, 0.750, 0.946)
Tm (0.726, 0.250, 0.704)
Tm (0.774, 0.750, 0.204)
Tm (0.879, 0.250, 0.446)
Tm (0.945, 0.750, 0.870)
Co (0.131, 0.250, 0.368)
Co (0.369, 0.750, 0.868)
Co (0.631, 0.250, 0.132)
Co (0.869, 0.750, 0.632)
Ge (0.014, 0.750, 0.315)
Ge (0.192, 0.750, 0.996)
Ge (0.308, 0.250, 0.496)
Ge (0.486, 0.250, 0.815)
Ge (0.514, 0.750, 0.185)
Ge (0.692, 0.750, 0.504)
Ge (0.808, 0.250, 0.004)
Ge (0.986, 0.250, 0.685)

Output
- Formation energy: -0.730 eV per atom


A plane-wave DFT calculation with GGA-PBE was carried out for an optimized crystal structure of Tm12Co6Ge.

Unit cell a=8.180 b=8.180 c=8.180 alpha=109.47 beta=109.47 gamma=109.47
Atoms (fractional coordinates):
Tm (0.105, 0.300, 0.806)
Tm (0.194, 0.494, 0.300)
Tm (0.194, 0.895, 0.700)
Tm (0.300, 0.194, 0.494)
Tm (0.300, 0.806, 0.105)
Tm (0.494, 0.300, 0.194)
Tm (0.506, 0.700, 0.806)
Tm (0.700, 0.194, 0.895)
Tm (0.700, 0.806, 0.506)
Tm (0.806, 0.105, 0.300)
Tm (0.806, 0.506, 0.700)
Tm (0.895, 0.700, 0.194)
Co (0.115, 0.500, 0.615)
Co (0.385, 0.885, 0.500)
Co (0.500, 0.385, 0.885)
Co (0.500, 0.615, 0.115)
Co (0.615, 0.115, 0.500)
Co (0.885, 0.500, 0.385)
Ge (0.000, 0.000, 0.000)

Output
- Formation energy: -0.306 eV per atom


A plane-wave DFT calculation with GGA-PBE was carried out for an optimized crystal structure of TmCo12Ge6.

Unit cell a=6.658 b=6.658 c=6.658 alpha=105.27 beta=105.27 gamma=105.27
Atoms (fractional coordinates):
Tm (0.000, 0.000, 0.000)
Co (0.122, 0.500, 0.878)
Co (0.122, 0.878, 0.500)
Co (0.179, 0.424, 0.424)
Co (0.424, 0.179, 0.424)
Co (0.424, 0.424, 0.179)
Co (0.500, 0.122, 0.878)
Co (0.500, 0.878, 0.122)
Co (0.576, 0.576, 0.821)
Co (0.576, 0.821, 0.576)
Co (0.821, 0.576, 0.576)
Co (0.878, 0.122, 0.500)
Co (0.878, 0.500, 0.122)
Ge (0.251, 0.251, 0.708)
Ge (0.251, 0.708, 0.251)
Ge (0.292, 0.749, 0.749)
Ge (0.708, 0.251, 0.251)
Ge (0.749, 0.292, 0.749)
Ge (0.749, 0.749, 0.292)

Output
- Formation energy: -0.045 eV per atom


A plane-wave DFT calculation with GGA-PBE was carried out for an optimized crystal structure of Tm2Co3Ge5.

Unit cell a=8.085 b=8.085 c=8.085 alpha=106.70 beta=87.85 gamma=138.60
Atoms (fractional coordinates):
Tm (0.140, 0.231, 0.372)
Tm (0.360, 0.731, 0.091)
Tm (0.640, 0.269, 0.909)
Tm (0.860, 0.769, 0.628)
Co (0.142, 0.897, 0.038)
Co (0.250, 0.750, 0.500)
Co (0.358, 0.397, 0.755)
Co (0.642, 0.603, 0.245)
Co (0.750, 0.250, 0.500)
Co (0.858, 0.103, 0.962)
Ge (0.029, 0.750, 0.279)
Ge (0.091, 0.669, 0.759)
Ge (0.250, 0.250, 0.000)
Ge (0.409, 0.169, 0.578)
Ge (0.471, 0.750, 0.721)
Ge (0.529, 0.250, 0.279)
Ge (0.591, 0.831, 0.422)
Ge (0.750, 0.750, 0.000)
Ge (0.909, 0.331, 0.241)
Ge (0.971, 0.250, 0.721)

Output
- Formation energy: -0.564 eV per atom
- Excess energy over the best structure of this formula in the dataset: 0.000 eV per atom


A plane-wave DFT calculation with GGA-PBE was carried out for an optimized crystal structure of Tm2CoGe2.

Unit cell a=7.289 b=7.289 c=7.289 alpha=130.71 beta=70.39 gamma=133.10
Atoms (fractional coordinates):
Tm (0.141, 0.212, 0.352)
Tm (0.359, 0.712, 0.071)
Tm (0.641, 0.288, 0.929)
Tm (0.859, 0.788, 0.648)
Co (0.250, 0.750, 0.500)
Co (0.750, 0.250, 0.500)
Ge (0.111, 0.729, 0.840)
Ge (0.389, 0.229, 0.619)
Ge (0.611, 0.771, 0.381)
Ge (0.889, 0.271, 0.160)

Output
- Formation energy: -0.616 eV per atom


A plane-wave DFT calculation with GGA-PBE was carried out for an optimized crystal structure of Tm3Co6Ge5.

Unit cell a=3.908 b=11.920 c=9.320 alpha=90.00 beta=90.00 gamma=90.00
Atoms (fractional coordinates):
Tm (0.250, 0.083, 0.248)
Tm (0.250, 0.417, 0.248)
Tm (0.250, 0.750, 0.253)
Tm (0.750, 0.250, 0.747)
Tm (0.750, 0.583, 0.752)
Tm (0.750, 0.917, 0.752)
Co (0.250, 0.055, 0.904)
Co (0.250, 0.250, 0.511)
Co (0.250, 0.250, 0.998)
Co (0.250, 0.445, 0.904)
Co (0.250, 0.582, 0.496)
Co (0.250, 0.918, 0.496)
Co (0.750, 0.082, 0.504)
Co (0.750, 0.418, 0.504)
Co (0.750, 0.555, 0.096)
Co (0.750, 0.750, 0.002)
Co (0.750, 0.750, 0.489)
Co (0.750, 0.945, 0.096)
Ge (0.250, 0.080, 0.648)
Ge (0.250, 0.420, 0.648)
Ge (0.250, 0.630, 0.984)
Ge (0.250, 0.750, 0.629)
Ge (0.250, 0.870, 0.984)
Ge (0.750, 0.130, 0.016)
Ge (0.750, 0.250, 0.371)
Ge (0.750, 0.370, 0.016)
Ge (0.750, 0.580, 0.352)
Ge (0.750, 0.920, 0.352)

Output
- Formation energy: -0.566 eV per atom


A plane-wave DFT calculation with GGA-PBE was carried out for an optimized crystal structure of Tm4Co7Ge6.

Unit cell a=6.972 b=6.972 c=6.972 alpha=109.47 beta=109.47 gamma=109.47
Atoms (fractional coordinates):
Tm (0.000, 0.000, 0.500)
Tm (0.000, 0.500, 0.000)
Tm (0.500, 0.000, 0.000)
Tm (0.500, 0.500, 0.500)
Co (0.000, 0.000, 0.000)
Co (0.250, 0.500, 0.750)
Co (0.250, 0.750, 0.500)
Co (0.500, 0.250, 0.750)
Co (0.500, 0.750, 0.250)
Co (0.750, 0.250, 0.500)
Co (0.750, 0.500, 0.250)
Ge (0.000, 0.325, 0.325)
Ge (0.000, 0.675, 0.675)
Ge (0.325, 0.000, 0.325)
Ge (0.325, 0.325, 0.000)
Ge (0.675, 0.000, 0.675)
Ge (0.675, 0.675, 0.000)

Output
- Formation energy: -0.583 eV per atom


A plane-wave DFT calculation with GGA-PBE was carried out for an optimized crystal structure of TmCo4Ge.

Unit cell a=7.102 b=3.606 c=6.624 alpha=90.00 beta=90.00 gamma=90.00
Atoms (fractional coordinates):
Tm (0.250, 0.000, 0.135)
Tm (0.750, 0.000, 0.865)
Co (0.000, 0.000, 0.500)
Co (0.042, 0.500, 0.781)
Co (0.250, 0.500, 0.454)
Co (0.458, 0.500, 0.781)
Co (0.500, 0.000, 0.500)
Co (0.542, 0.500, 0.219)
Co (0.750, 0.500, 0.546)
Co (0.958, 0.500, 0.219)
Ge (0.250, 0.000, 0.718)
Ge (0.750, 0.000, 0.282)

Output
- Formation energy: -0.094 eV per atom
- Excess energy over the best structure of this formula in the dataset: 0.041 eV per atom


A plane-wave DFT calculation with GGA-PBE was carried out for an optimized crystal structure of TmCo2Ge3.

Unit cell a=5.968 b=5.968 c=5.358 alpha=90.00 beta=90.00 gamma=78.77
Atoms (fractional coordinates):
Tm (0.149, 0.851, 0.750)
Tm (0.851, 0.149, 0.250)
Co (0.286, 0.286, 0.000)
Co (0.286, 0.286, 0.500)
Co (0.714, 0.714, 0.000)
Co (0.714, 0.714, 0.500)
Ge (0.042, 0.621, 0.250)
Ge (0.379, 0.958, 0.250)
Ge (0.477, 0.523, 0.250)
Ge (0.523, 0.477, 0.750)
Ge (0.621, 0.042, 0.750)
Ge (0.958, 0.379, 0.750)

Output
- Formation energy: -0.353 eV per atom
- Excess energy over the best structure of this formula in the dataset: 0.081 eV per atom


Number 1: magnetic moment 0.000 μB/atom. Number 2: magnetic moment 0.000 μB/atom. Number 3: magnetic moment 0.000 μB/atom. Number 4: magnetic moment 0.000 μB/atom. Number 5: magnetic moment 0.000 μB/atom. Number 6: magnetic moment 0.000 μB/atom. Number 7: magnetic moment 0.445 μB/atom. Number 8: magnetic moment 0.838 μB/atom. Number 9: magnetic moment 0.000 μB/atom. Number 10: magnetic moment 0.001 μB/atom. Number 11: magnetic moment 0.000 μB/atom. Number 12: magnetic moment 0.000 μB/atom. Number 13: magnetic moment 0.383 μB/atom. Number 14: magnetic moment 0.064 μB/atom. Number 15: magnetic moment 0.286 μB/atom. Number 16: magnetic moment 0.000 μB/atom. Number 17: magnetic moment 0.000 μB/atom. Number 18: magnetic moment 0.617 μB/atom. Number 19: magnetic moment 0.000 μB/atom.